Entry from Alexandria: RbBiTe after structural relaxation (PBE).

Lattice parameters (Å, degrees): 5.212 5.331 10.839 93.00 90.15 114.45
Space group P-1 (No. 2)
Unique sites:
Rb1 0.010 0.035 0.270 [2 per cell]
Bi1 0.329 0.674 0.001 [2 per cell]
Te1 0.399 0.707 0.471 [2 per cell]

Values from the calculation:
Formation energy from raw total energies in eV per atom: -0.40
Offset from the most stable computed form in kJ/mol of atoms: 0.0
Spin magnetization in μB per formula unit: 0.0